(1)
Computed, not measured: ZrSiOs2 after structural relaxation at the PBE level of DFT.

extended XYZ file:
```
4
Lattice="4.363 0.000 0.000 0.000 4.363 0.000 0.000 0.000 3.226" Properties=species:S:1:pos:R:3 pbc="T T T"
Zr 0.000 0.000 0.000
Si 2.182 2.182 0.000
Os 0.000 2.182 1.613
Os 2.182 0.000 1.613
```

Output
Space-group type = P4/mmm

***

(2)
Computed, not measured: ZrSiOs2 after structural relaxation at the PBE level of DFT.

extended XYZ file:
```
4
Lattice="2.955 0.000 0.000 0.000 4.391 0.000 -1.156 0.000 4.865" Properties=species:S:1:pos:R:3 pbc="T T T"
Zr 0.000 0.000 0.000
Si 0.465 2.196 3.682
Os 0.625 0.000 2.507
Os 1.972 2.196 1.523
```

Output
Space-group type = Pm

***

(3)
Computed, not measured: ZrSi2Os after structural relaxation at the PBE level of DFT.

extended XYZ file:
```
4
Lattice="0.000 3.127 3.127 3.127 0.000 3.127 3.127 3.127 0.000" Properties=species:S:1:pos:R:3 pbc="T T T"
Zr 0.000 0.000 0.000
Si 1.563 1.563 1.563
Si 4.690 4.690 4.690
Os 3.127 3.127 3.127
```

Output
Space-group type = Fm-3m

***

no.,total DFT energy (no corrections) (eV/atom),formation energy from raw total energies (eV/f.u.)
1,-9.446,-1.35
2,-9.329,-0.88
3,-7.852,-0.79